1.
The following is a PBE calculation of an optimized crystal structure of Tl4Hg2Bi5, from Alexandria via LeMat-Bulk.

```
data_Tl4Hg2Bi5
_chemical_formula_sum 'Tl4 Hg2 Bi5'
_cell_length_a 8.7928
_cell_length_b 3.3612
_cell_length_c 11.8971
_cell_angle_alpha 90.00
_cell_angle_beta 94.98
_cell_angle_gamma 90.00
_symmetry_space_group_name_H-M 'P 1 2/m 1'
_symmetry_Int_Tables_number 10
_symmetry_space_group_name_Hall '-P 2y'
loop_
_atom_site_label
_atom_site_fract_x
_atom_site_fract_y
_atom_site_fract_z
Tl1 0.1531 0.0000 0.3987
Tl2 0.2933 0.0000 0.9519
Hg1 0.0529 0.5000 0.1350
Bi1 0.2196 0.5000 0.6771
Bi2 0.4338 0.5000 0.2202
Bi3 0.5000 0.5000 0.5000
```

## Properties
- E_form (eV/atom) = -0.01
- calculated total energy (eV per atom) = -2.691



2.
The following is a PBE calculation of an optimized crystal structure of Tl2Hg2Bi, from Alexandria via LeMat-Bulk.

```
data_Tl2Hg2Bi
_chemical_formula_sum 'Tl2 Hg2 Bi1'
_cell_length_a 5.3501
_cell_length_b 3.4845
_cell_length_c 8.3393
_cell_angle_alpha 90.00
_cell_angle_beta 106.32
_cell_angle_gamma 90.00
_symmetry_space_group_name_H-M 'P 1 2/m 1'
_symmetry_Int_Tables_number 10
_symmetry_space_group_name_Hall '-P 2y'
loop_
_atom_site_label
_atom_site_fract_x
_atom_site_fract_y
_atom_site_fract_z
Tl1 0.1021 0.0000 0.2140
Hg1 0.2973 0.5000 0.5954
Bi1 0.5000 0.5000 0.0000
```

## Properties
- E_form (eV/atom) = 0.00
- calculated total energy (eV per atom) = -1.842



3.
The following is a PBE calculation of an optimized crystal structure of Tl4Hg5Bi3, from Alexandria via LeMat-Bulk.

```
data_Tl4Hg5Bi3
_chemical_formula_sum 'Tl8 Hg10 Bi6'
_cell_length_a 9.0517
_cell_length_b 5.9569
_cell_length_c 14.4240
_cell_angle_alpha 90.00
_cell_angle_beta 98.38
_cell_angle_gamma 90.00
_symmetry_space_group_name_H-M 'C 1 2/m 1'
_symmetry_Int_Tables_number 12
_symmetry_space_group_name_Hall '-C 2y'
loop_
_atom_site_label
_atom_site_fract_x
_atom_site_fract_y
_atom_site_fract_z
Tl1 0.1907 0.0000 0.0592
Tl2 0.2308 0.5000 0.7006
Hg1 0.0000 0.0000 0.5000
Hg2 0.0376 0.5000 0.1209
Hg3 0.2078 0.5000 0.3533
Bi1 0.0000 0.5000 0.5000
Bi2 0.1111 0.0000 0.8206
```

## Properties
- E_form (eV/atom) = 0.05
- calculated total energy (eV per atom) = -1.838



4.
The following is a PBE calculation of an optimized crystal structure of Tl6Hg10Bi, from Alexandria via LeMat-Bulk.

```
data_Tl6Hg10Bi
_chemical_formula_sum 'Tl6 Hg10 Bi1'
_cell_length_a 9.5359
_cell_length_b 9.5359
_cell_length_c 6.4251
_cell_angle_alpha 90.00
_cell_angle_beta 90.00
_cell_angle_gamma 120.00
_symmetry_space_group_name_H-M 'P -3 1 m'
_symmetry_Int_Tables_number 162
_symmetry_space_group_name_Hall '-P 3 2'
loop_
_atom_site_label
_atom_site_fract_x
_atom_site_fract_y
_atom_site_fract_z
Tl1 0.0000 0.3763 0.2894
Hg1 0.0000 0.2656 0.8152
Hg2 0.3333 0.6667 0.0000
Hg3 0.3333 0.6667 0.5000
Bi1 0.0000 0.0000 0.5000
```

## Properties
- E_form (eV/atom) = 0.01
- calculated total energy (eV per atom) = -1.231



5.
The following is a PBE calculation of an optimized crystal structure of Tl5Hg2Bi, from Alexandria via LeMat-Bulk.

```
data_Tl5Hg2Bi
_chemical_formula_sum 'Tl10 Hg4 Bi2'
_cell_length_a 5.0865
_cell_length_b 5.0865
_cell_length_c 18.9531
_cell_angle_alpha 90.00
_cell_angle_beta 90.00
_cell_angle_gamma 90.00
_symmetry_space_group_name_H-M 'I 4/m m m'
_symmetry_Int_Tables_number 139
_symmetry_space_group_name_Hall '-I 4 2'
loop_
_atom_site_label
_atom_site_fract_x
_atom_site_fract_y
_atom_site_fract_z
Tl1 0.0000 0.0000 0.0000
Tl2 0.0000 0.5000 0.1274
Hg1 0.0000 0.0000 0.2496
Bi1 0.0000 0.0000 0.5000
```

## Properties
- E_form (eV/atom) = -0.02
- calculated total energy (eV per atom) = -2.055



6.
The following is a PBE calculation of an optimized crystal structure of Tl2Hg2Bi, from Alexandria via LeMat-Bulk.

```
data_Tl2Hg2Bi
_chemical_formula_sum 'Tl4 Hg4 Bi2'
_cell_length_a 8.7081
_cell_length_b 8.7081
_cell_length_c 3.9567
_cell_angle_alpha 90.00
_cell_angle_beta 90.00
_cell_angle_gamma 90.00
_symmetry_space_group_name_H-M 'P 4/m b m'
_symmetry_Int_Tables_number 127
_symmetry_space_group_name_Hall '-P 4 2ab'
loop_
_atom_site_label
_atom_site_fract_x
_atom_site_fract_y
_atom_site_fract_z
Tl1 0.1703 0.3297 0.0000
Hg1 0.1314 0.6314 0.5000
Bi1 0.0000 0.0000 0.5000
```

## Properties
- E_form (eV/atom) = 0.04
- calculated total energy (eV per atom) = -1.803



7.
The following is a PBE calculation of an optimized crystal structure of Tl2Hg2Bi, from Alexandria via LeMat-Bulk.

```
data_Tl2Hg2Bi
_chemical_formula_sum 'Tl4 Hg4 Bi2'
_cell_length_a 9.0765
_cell_length_b 9.0765
_cell_length_c 3.7156
_cell_angle_alpha 90.00
_cell_angle_beta 90.00
_cell_angle_gamma 90.00
_symmetry_space_group_name_H-M 'P 4/m b m'
_symmetry_Int_Tables_number 127
_symmetry_space_group_name_Hall '-P 4 2ab'
loop_
_atom_site_label
_atom_site_fract_x
_atom_site_fract_y
_atom_site_fract_z
Tl1 0.1725 0.3275 0.0000
Hg1 0.1306 0.6306 0.5000
Bi1 0.0000 0.0000 0.0000
```

## Properties
- E_form (eV/atom) = 0.08
- calculated total energy (eV per atom) = -1.763



8.
The following is a PBE calculation of an optimized crystal structure of Tl4HgBi3, from Alexandria via LeMat-Bulk.

```
data_Tl4HgBi3
_chemical_formula_sum 'Tl4 Hg1 Bi3'
_cell_length_a 3.4706
_cell_length_b 5.3483
_cell_length_c 13.7809
_cell_angle_alpha 90.00
_cell_angle_beta 90.00
_cell_angle_gamma 90.00
_symmetry_space_group_name_H-M 'P m m 2'
_symmetry_Int_Tables_number 25
_symmetry_space_group_name_Hall 'P 2 -2'
loop_
_atom_site_label
_atom_site_fract_x
_atom_site_fract_y
_atom_site_fract_z
Tl1 0.0000 0.0000 0.0000
Tl2 0.0000 0.5000 0.3289
Tl3 0.5000 0.0000 0.4839
Tl4 0.5000 0.5000 0.8508
Hg1 0.5000 0.0000 0.2386
Bi1 0.0000 0.0000 0.7350
Bi2 0.0000 0.5000 0.6043
Bi3 0.5000 0.5000 0.1045
```

## Properties
- E_form (eV/atom) = -0.01
- calculated total energy (eV per atom) = -2.682



9.
The following is a PBE calculation of an optimized crystal structure of Tl4Hg7Bi, from Alexandria via LeMat-Bulk.

```
data_Tl4Hg7Bi
_chemical_formula_sum 'Tl8 Hg14 Bi2'
_cell_length_a 15.0521
_cell_length_b 6.0662
_cell_length_c 9.9948
_cell_angle_alpha 90.00
_cell_angle_beta 126.37
_cell_angle_gamma 90.00
_symmetry_space_group_name_H-M 'C 1 2/m 1'
_symmetry_Int_Tables_number 12
_symmetry_space_group_name_Hall '-C 2y'
loop_
_atom_site_label
_atom_site_fract_x
_atom_site_fract_y
_atom_site_fract_z
Tl1 0.0077 0.0000 0.1855
Tl2 0.2348 0.5000 0.2219
Hg1 0.0000 0.0000 0.5000
Hg2 0.0091 0.5000 0.8381
Hg3 0.2320 0.5000 0.5470
Hg4 0.2436 0.5000 0.8924
Bi1 0.0000 0.5000 0.5000
```

## Properties
- E_form (eV/atom) = 0.03
- calculated total energy (eV per atom) = -1.262



10.
The following is a PBE calculation of an optimized crystal structure of Tl2Hg3Bi, from Alexandria via LeMat-Bulk.

```
data_Tl2Hg3Bi
_chemical_formula_sum 'Tl16 Hg24 Bi8'
_cell_length_a 7.3106
_cell_length_b 10.5394
_cell_length_c 18.4851
_cell_angle_alpha 90.00
_cell_angle_beta 90.00
_cell_angle_gamma 90.00
_symmetry_space_group_name_H-M 'F m m m'
_symmetry_Int_Tables_number 69
_symmetry_space_group_name_Hall '-F 2 2'
loop_
_atom_site_label
_atom_site_fract_x
_atom_site_fract_y
_atom_site_fract_z
Tl1 0.2452 0.0000 0.0000
Tl2 0.2500 0.2500 0.2500
Hg1 0.0000 0.0000 0.1644
Hg2 0.0000 0.2464 0.0816
Bi1 0.0000 0.0000 0.3346
```

## Properties
- E_form (eV/atom) = 0.01
- calculated total energy (eV per atom) = -1.577



11.
The following is a PBE calculation of an optimized crystal structure of TlHg4Bi3, from Alexandria via LeMat-Bulk.

```
data_TlHg4Bi3
_chemical_formula_sum 'Tl2 Hg8 Bi6'
_cell_length_a 6.9567
_cell_length_b 7.3440
_cell_length_c 9.2497
_cell_angle_alpha 90.03
_cell_angle_beta 90.03
_cell_angle_gamma 92.57
_symmetry_space_group_name_H-M 'P 1'
_symmetry_Int_Tables_number 1
_symmetry_space_group_name_Hall 'P 1'
loop_
_atom_site_label
_atom_site_fract_x
_atom_site_fract_y
_atom_site_fract_z
Tl1 0.0000 0.0000 0.0000
Tl2 0.4661 0.9795 0.5003
Hg1 0.0102 0.5145 0.4993
Hg2 0.2217 0.2247 0.2643
Hg3 0.2493 0.7566 0.7654
Hg4 0.4698 0.4703 0.9972
Hg5 0.4969 0.9881 0.0118
Hg6 0.7344 0.2379 0.2493
Hg7 0.7366 0.7423 0.7496
Hg8 0.9710 0.9981 0.5119
Bi1 0.1982 0.2734 0.7324
Bi2 0.2737 0.7067 0.2295
Bi3 0.5240 0.4816 0.4992
Bi4 0.6974 0.2339 0.7605
Bi5 0.7762 0.7460 0.2640
Bi6 0.9526 0.4986 0.0010
```

## Properties
- E_form (eV/atom) = 0.05
- calculated total energy (eV per atom) = -1.847



12.
The following is a PBE calculation of an optimized crystal structure of TlHgBi2, from Alexandria via LeMat-Bulk.

```
data_TlHgBi2
_chemical_formula_sum 'Tl1 Hg1 Bi2'
_cell_length_a 4.6953
_cell_length_b 4.6953
_cell_length_c 5.6197
_cell_angle_alpha 90.00
_cell_angle_beta 90.00
_cell_angle_gamma 90.00
_symmetry_space_group_name_H-M 'P 4/m m m'
_symmetry_Int_Tables_number 123
_symmetry_space_group_name_Hall '-P 4 2'
loop_
_atom_site_label
_atom_site_fract_x
_atom_site_fract_y
_atom_site_fract_z
Tl1 0.0000 0.0000 0.0000
Hg1 0.5000 0.5000 0.0000
Bi1 0.0000 0.5000 0.5000
```

## Properties
- E_form (eV/atom) = 0.05
- calculated total energy (eV per atom) = -2.559